Record 1
{"formula": "Zr2Al2GaIr5", "functional": "PBE", "state": "relaxed", "magmom_total_mub_per_fu": 0.00, "delta_e_f_ev_per_atom": -0.706, "cell": [[9.4746, 0.0000, 0.0000], [0.0000, 9.4746, 0.0000], [0.0000, 0.0000, 3.5783]], "species": ["Zr", "Zr", "Zr", "Zr", "Al", "Al", "Al", "Al", "Ga", "Ga", "Ir", "Ir", "Ir", "Ir", "Ir", "Ir", "Ir", "Ir", "Ir", "Ir"], "fractional_positions": [[0.1749, 0.3251, 0.0000], [0.3251, 0.8251, 0.0000], [0.6749, 0.1749, 0.0000], [0.8251, 0.6749, 0.0000], [0.1243, 0.6243, 0.0000], [0.3757, 0.1243, 0.0000], [0.6243, 0.8757, 0.0000], [0.8757, 0.3757, 0.0000], [0.0000, 0.0000, 0.0000], [0.5000, 0.5000, 0.0000], [0.0000, 0.5000, 0.5000], [0.0676, 0.7958, 0.5000], [0.2042, 0.0676, 0.5000], [0.2958, 0.5676, 0.5000], [0.4324, 0.2958, 0.5000], [0.5000, 0.0000, 0.5000], [0.5676, 0.7042, 0.5000], [0.7042, 0.4324, 0.5000], [0.7958, 0.9324, 0.5000], [0.9324, 0.2042, 0.5000]]}

***

Record 2
{"formula": "KAlGa", "functional": "PBE", "state": "relaxed", "magmom_total_mub_per_fu": 0.00, "delta_e_f_ev_per_atom": 0.055, "cell": [[4.4369, 0.0000, 0.0000], [-2.2185, 3.8425, 0.0000], [0.0000, 0.0000, 5.5017]], "species": ["K", "Al", "Ga"], "fractional_positions": [[0.0000, 0.0000, 0.0000], [0.3333, 0.6667, 0.5000], [0.6667, 0.3333, 0.5000]]}

***

Record 3
{"formula": "K2AlGa10", "functional": "PBE", "state": "relaxed", "magmom_total_mub_per_fu": 0.00, "delta_e_f_ev_per_atom": -0.010, "cell": [[7.4252, 0.0000, 0.0000], [0.0000, 15.7242, 0.0000], [0.0000, 0.0000, 6.1284]], "species": ["K", "K", "K", "K", "Al", "Al", "Ga", "Ga", "Ga", "Ga", "Ga", "Ga", "Ga", "Ga", "Ga", "Ga", "Ga", "Ga", "Ga", "Ga", "Ga", "Ga", "Ga", "Ga", "Ga", "Ga"], "fractional_positions": [[0.1420, 0.1339, 0.0000], [0.3580, 0.6339, 0.0000], [0.6420, 0.3661, 0.0000], [0.8580, 0.8661, 0.0000], [0.0000, 0.5000, 0.5000], [0.5000, 0.0000, 0.5000], [0.0814, 0.6583, 0.5000], [0.1442, 0.9600, 0.5000], [0.1495, 0.3947, 0.1986], [0.1495, 0.3947, 0.8014], [0.2448, 0.7901, 0.5000], [0.2552, 0.2901, 0.5000], [0.3505, 0.8947, 0.1986], [0.3505, 0.8947, 0.8014], [0.3558, 0.4600, 0.5000], [0.4186, 0.1583, 0.5000], [0.5814, 0.8417, 0.5000], [0.6442, 0.5400, 0.5000], [0.6495, 0.1053, 0.1986], [0.6495, 0.1053, 0.8014], [0.7448, 0.7099, 0.5000], [0.7552, 0.2099, 0.5000], [0.8505, 0.6053, 0.1986], [0.8505, 0.6053, 0.8014], [0.8558, 0.0400, 0.5000], [0.9186, 0.3417, 0.5000]]}

***

Record 4
{"formula": "KAlGa3", "functional": "PBE", "state": "relaxed", "magmom_total_mub_per_fu": 0.00, "delta_e_f_ev_per_atom": 0.172, "cell": [[5.1362, 0.0000, 0.0000], [0.0000, 5.1362, 0.0000], [0.0000, 0.0000, 5.1362]], "species": ["K", "Al", "Ga", "Ga", "Ga"], "fractional_positions": [[0.0000, 0.0000, 0.0000], [0.5000, 0.5000, 0.5000], [0.0000, 0.5000, 0.5000], [0.5000, 0.0000, 0.5000], [0.5000, 0.5000, 0.0000]]}

***

Which formula does entry 4 have? KAlGa3

***

What did the third record say?
{"formula": "K2AlGa10", "functional": "PBE", "state": "relaxed", "magmom_total_mub_per_fu": 0.00, "delta_e_f_ev_per_atom": -0.010, "cell": [[7.4252, 0.0000, 0.0000], [0.0000, 15.7242, 0.0000], [0.0000, 0.0000, 6.1284]], "species": ["K", "K", "K", "K", "Al", "Al", "Ga", "Ga", "Ga", "Ga", "Ga", "Ga", "Ga", "Ga", "Ga", "Ga", "Ga", "Ga", "Ga", "Ga", "Ga", "Ga", "Ga", "Ga", "Ga", "Ga"], "fractional_positions": [[0.1420, 0.1339, 0.0000], [0.3580, 0.6339, 0.0000], [0.6420, 0.3661, 0.0000], [0.8580, 0.8661, 0.0000], [0.0000, 0.5000, 0.5000], [0.5000, 0.0000, 0.5000], [0.0814, 0.6583, 0.5000], [0.1442, 0.9600, 0.5000], [0.1495, 0.3947, 0.1986], [0.1495, 0.3947, 0.8014], [0.2448, 0.7901, 0.5000], [0.2552, 0.2901, 0.5000], [0.3505, 0.8947, 0.1986], [0.3505, 0.8947, 0.8014], [0.3558, 0.4600, 0.5000], [0.4186, 0.1583, 0.5000], [0.5814, 0.8417, 0.5000], [0.6442, 0.5400, 0.5000], [0.6495, 0.1053, 0.1986], [0.6495, 0.1053, 0.8014], [0.7448, 0.7099, 0.5000], [0.7552, 0.2099, 0.5000], [0.8505, 0.6053, 0.1986], [0.8505, 0.6053, 0.8014], [0.8558, 0.0400, 0.5000], [0.9186, 0.3417, 0.5000]]}